Entry 1:
## CsSrBe2Cu (meta-GGA SCAN)

Data for a PBEsol-optimized structure of CsSrBe2Cu.

Lattice parameters (Å, degrees): 5.479 5.479 5.380 90.00 90.00 90.00
Fractional coordinates of all 5 atoms:
Cs (0.000, 0.000, 0.000)
Sr (0.500, 0.500, 0.500)
Be (0.000, 0.500, 0.000)
Be (0.500, 0.000, 0.000)
Cu (0.000, 0.000, 0.500)

Properties
- Formation energy: 1.6547 eV per atom

***

Entry 2:
## KY2BTe (meta-GGA SCAN)

Data for a PBEsol-optimized structure of KY2BTe.

Lattice parameters (Å, degrees): 4.958 4.958 5.548 90.00 90.00 90.00
Fractional coordinates of all 5 atoms:
K (0.000, 0.000, 0.000)
Y (0.000, 0.500, 0.500)
Y (0.500, 0.000, 0.500)
B (0.000, 0.000, 0.500)
Te (0.500, 0.500, 0.000)

Properties
- Formation energy (no corrections): -0.217 eV/atom